# PBE-GGA LiPmMg2Cd4, relaxed
data_LiPmMg2Cd4
_cell_length_a 4.9240
_cell_length_b 4.9240
_cell_length_c 25.7896
_cell_angle_alpha 90.00
_cell_angle_beta 90.00
_cell_angle_gamma 120.00
_symmetry_space_group_name_H-M 'R -3 m'
_symmetry_Int_Tables_number 166
_symmetry_space_group_name_Hall '-R 3 2"'
loop_
_atom_site_label
_atom_site_fract_x
_atom_site_fract_y
_atom_site_fract_z
Li1 0.0000 0.0000 0.0000
Pm1 0.0000 0.0000 0.5000
Mg1 0.0000 0.0000 0.2512
Cd1 0.0000 0.0000 0.1118
Cd2 0.0000 0.0000 0.3698
# energy of formation	-241	meV per atom
# density of states at the Fermi level	0.445	states/eV/atom